# PBE-GGA HoEr6Zr2, relaxed
data_HoEr6Zr2
_chemical_formula_sum 'Ho1 Er6 Zr2'
_cell_length_a 3.4731
_cell_length_b 3.4731
_cell_length_c 25.1852
_cell_angle_alpha 90.00
_cell_angle_beta 90.00
_cell_angle_gamma 120.00
_space_group_name_H-M_alt 'P -6 m 2'
_space_group_IT_number 187
_space_group_name_Hall 'P -6 2'
loop_
_atom_site_label
_atom_site_fract_x
_atom_site_fract_y
_atom_site_fract_z
Ho1 0.0000 0.0000 0.0000
Er1 0.0000 0.0000 0.2270
Er2 0.0000 0.0000 0.4326
Er3 0.3333 0.6667 0.1130
Zr1 0.3333 0.6667 0.3313
# Crystal system = hexagonal
# ΔE_f = 0.0749 eV/atom
# DOS(E_F) = 1.99 states/eV/atom
# VASP energy = -48.38 eV for the cell shown

***

# PBE-GGA K4Np3PdSe8, relaxed
data_K4Np3PdSe8
_chemical_formula_sum 'K12 Np9 Pd3 Se24'
_cell_length_a 8.3406
_cell_length_b 8.3406
_cell_length_c 23.0336
_cell_angle_alpha 90.00
_cell_angle_beta 90.00
_cell_angle_gamma 120.00
_space_group_name_H-M_alt 'R -3 m'
_space_group_IT_number 166
_space_group_name_Hall '-R 3 2"'
loop_
_atom_site_label
_atom_site_fract_x
_atom_site_fract_y
_atom_site_fract_z
K1 0.0000 0.0000 0.0000
K2 0.0000 0.5000 0.0000
Np1 0.0000 0.5000 0.5000
Pd1 0.0000 0.0000 0.5000
Se1 0.0000 0.0000 0.2363
Se2 0.0006 0.5003 0.7665
# Crystal system = trigonal
# E_form (uncorrected) = -1089.7 meV per atom
# DOS(E_F) = 1.81 states/eV/atom
# VASP energy = -281.15 eV for the cell shown

***

# PBE-GGA ScPd2Pt, relaxed
data_ScPd2Pt
_chemical_formula_sum 'Sc4 Pd8 Pt4'
_cell_length_a 3.888
_cell_length_b 3.888
_cell_length_c 18.771
_cell_angle_alpha 90.00
_cell_angle_beta 90.00
_cell_angle_gamma 90.00
_space_group_name_H-M_alt 'I -4 2 d'
_space_group_IT_number 122
_space_group_name_Hall 'I -4 2bw'
loop_
_atom_site_label
_atom_site_fract_x
_atom_site_fract_y
_atom_site_fract_z
Sc1 0.000 0.000 0.000
Pd1 0.246 0.250 0.625
Pt1 0.000 0.000 0.500
# Crystal system = tetragonal
# ΔE_f = -0.5560 eV/atom
# DOS(E_F) = 0.55 states/eV/atom
# VASP energy = -99.93 eV for the cell shown